Entry 1:
# Tm2Al3Au

A relaxed structure of Tm2Al3Au (PBE, the Alexandria database).

Results
Size of the total moment ... 0.0 μB per formula unit
Uncorrected energy ... -4.516 eV/atom
SG ... No. 69
E_form ... -0.61 eV/atom
D(E_F) ... 0.551 states/eV/atom

Cell and atoms, written as POSCAR:
```
Tm2Al3Au
1.0
-2.591 -4.407 -2.519
3.925 -4.131 -0.100
-3.161 1.729 8.319
Tm Al Au
4 6 2
direct
0.750 0.250 0.500 Tm
0.749 0.251 0.000 Tm
0.250 0.750 0.500 Tm
0.251 0.749 0.000 Tm
0.830 0.830 0.166 Al
0.664 0.664 0.834 Al
0.170 0.170 0.834 Al
0.336 0.336 0.166 Al
0.166 0.166 0.331 Al
0.834 0.834 0.669 Al
0.669 0.669 0.338 Au
0.331 0.331 0.662 Au
```



Entry 2:
# Sc6SeN2

A relaxed structure of Sc6SeN2 (PBE, the Alexandria database).

Results
Size of the total moment ... 0.0 μB per formula unit
Uncorrected energy ... -7.453 eV/atom
SG ... No. 15
ΔE_f (raw) ... -864 kJ/mol of formula units
D(E_F) ... 0.769 states/eV/atom

Cell and atoms, written as POSCAR:
```
Sc6SeN2
1.0
6.217 0.213 0.206
2.111 7.581 -0.007
2.111 0.238 7.577
Sc Se N
12 2 4
direct
0.491 0.696 0.505 Sc
0.009 0.495 0.304 Sc
0.509 0.304 0.495 Sc
0.991 0.505 0.696 Sc
0.952 0.886 0.368 Sc
0.548 0.632 0.114 Sc
0.048 0.114 0.632 Sc
0.452 0.368 0.886 Sc
0.175 0.758 0.889 Sc
0.325 0.111 0.242 Sc
0.825 0.242 0.111 Sc
0.675 0.889 0.758 Sc
0.250 0.099 0.901 Se
0.750 0.901 0.099 Se
0.328 0.528 0.692 N
0.172 0.308 0.472 N
0.672 0.472 0.308 N
0.828 0.692 0.528 N
```



Entry 3:
# Ce5Mg4In4

A relaxed structure of Ce5Mg4In4 (PBE, the Alexandria database).

Results
Size of the total moment ... 6.8 μB per formula unit
Uncorrected energy ... -3.800 eV/atom
SG ... No. 87
E_form ... -0.18 eV/atom
D(E_F) ... 2.524 states/eV/atom

Cell and atoms, written as POSCAR:
```
Ce5Mg4In4
1.0
-1.700 2.368 -3.662
-0.737 -6.186 -6.650
-9.054 -0.654 0.788
Ce Mg In
5 4 4
direct
0.695 0.930 0.681 Ce
0.305 0.070 0.319 Ce
0.000 0.000 0.000 Ce
0.625 0.681 0.070 Ce
0.375 0.319 0.930 Ce
0.895 0.523 0.686 Mg
0.581 0.314 0.523 Mg
0.105 0.477 0.314 Mg
0.419 0.686 0.477 Mg
0.745 0.319 0.192 In
0.255 0.681 0.808 In
0.936 0.808 0.319 In
0.064 0.192 0.681 In
```



Entry 4:
# CdGaCu3

A relaxed structure of CdGaCu3 (PBE, the Alexandria database).

Results
Size of the total moment ... 0.0 μB per formula unit
Energy above the lowest structure with this stoichiometry ... 222 kJ/mol of formula units
Uncorrected energy ... -2.765 eV/atom
SG ... No. 221
E_form ... 0.48 eV/atom
D(E_F) ... 0.439 states/eV/atom

Cell and atoms, written as POSCAR:
```
CdGaCu3
1.0
-3.991 1.242 -1.711
-1.094 -4.341 -0.598
-1.809 -0.114 4.137
Cu Ga Cd
3 1 1
direct
0.000 0.500 0.000 Cu
0.000 0.000 0.500 Cu
0.500 0.000 0.000 Cu
0.000 0.000 0.000 Ga
0.500 0.500 0.500 Cd
```



Entry 5:
# SrLi2CaCu

A relaxed structure of SrLi2CaCu (PBE, the Alexandria database).

Results
Size of the total moment ... 0.0 μB per formula unit
Energy above the lowest structure with this stoichiometry ... 28 kJ/mol of formula units
Uncorrected energy ... -2.142 eV/atom
SG ... No. 123
E_form ... 0.18 eV/atom
D(E_F) ... 0.717 states/eV/atom

Cell and atoms, written as POSCAR:
```
SrLi2CaCu
1.0
-3.190 0.504 -4.148
3.729 -2.013 -3.112
-2.032 -5.202 0.931
Sr Ca Cu Li
1 1 1 2
direct
0.000 0.000 0.500 Sr
0.500 0.500 0.500 Ca
0.000 0.000 0.000 Cu
0.000 0.500 0.000 Li
0.500 0.000 0.000 Li
```



Entry 6:
# SrCd3Ni

A relaxed structure of SrCd3Ni (PBE, the Alexandria database).

Results
Size of the total moment ... 0.0 μB per formula unit
Energy above the lowest structure with this stoichiometry ... 13 kJ/mol of formula units
Uncorrected energy ... -2.185 eV/atom
SG ... No. 221
E_form ... -0.14 eV/atom
D(E_F) ... 0.512 states/eV/atom

Cell and atoms, written as POSCAR:
```
SrCd3Ni
1.0
-2.273 -3.076 -3.293
3.616 0.955 -3.388
2.688 -3.885 1.774
Sr Ni Cd
1 1 3
direct
0.500 0.500 0.500 Sr
0.000 0.000 0.000 Ni
0.000 0.500 0.000 Cd
0.000 0.000 0.500 Cd
0.500 0.000 0.000 Cd
```



Entry 7:
# InFe3Pt

A relaxed structure of InFe3Pt (PBE, the Alexandria database).

Results
Size of the total moment ... 9.9 μB per formula unit
Energy above the lowest structure with this stoichiometry ... 0 kJ/mol of formula units
Uncorrected energy ... -5.947 eV/atom
SG ... No. 221
E_form ... 0.89 eV/atom
D(E_F) ... 1.193 states/eV/atom

Cell and atoms, written as POSCAR:
```
InFe3Pt
1.0
-3.568 -3.004 0.758
2.329 -1.838 3.679
-2.044 3.151 2.868
Fe Pt In
3 1 1
direct
0.000 0.500 0.000 Fe
0.000 0.000 0.500 Fe
0.500 0.000 0.000 Fe
0.000 0.000 0.000 Pt
0.500 0.500 0.500 In
```



Entry 8:
# HfTc3Sn

A relaxed structure of HfTc3Sn (PBE, the Alexandria database).

Results
Size of the total moment ... 3.3 μB per formula unit
Energy above the lowest structure with this stoichiometry ... 0 kJ/mol of formula units
Uncorrected energy ... -7.412 eV/atom
SG ... No. 221
E_form ... 1.60 eV/atom
D(E_F) ... 0.690 states/eV/atom

Cell and atoms, written as POSCAR:
```
HfTc3Sn
1.0
-0.283 4.653 -1.121
-2.033 0.900 4.248
4.333 0.725 1.920
Hf Sn Tc
1 1 3
direct
0.000 0.000 0.000 Hf
0.500 0.500 0.500 Sn
0.000 0.500 0.000 Tc
0.000 0.000 0.500 Tc
0.500 0.000 0.000 Tc
```